Material: NbVW5
Method: DFT, PBE
State: relaxed

Cell: 5.249 6.745 6.933 Å, 92.78 102.38 101.04°
Fractional positions:
Nb (0.000, 0.000, 0.000)
Nb (0.500, 0.500, 0.500)
V (0.186, 0.331, 0.738)
V (0.814, 0.669, 0.262)
W (0.023, 0.664, 0.664)
W (0.204, 0.662, 0.078)
W (0.207, 0.013, 0.408)
W (0.401, 0.332, 0.122)
W (0.404, 0.003, 0.792)
W (0.596, 0.997, 0.208)
W (0.599, 0.668, 0.878)
W (0.793, 0.987, 0.592)
W (0.796, 0.338, 0.922)
W (0.977, 0.336, 0.336)

Fermi-level density of states: 9.59 states/eV per cell
magnetization: 0.00 μB/cell
DFT total energy: -11.736 eV/atom
energy relative to the elements: 0.26 eV per atom